[1]
# PrEuSb2 | the Alexandria database | GGA-PBE | relaxed
# **Total moment**: 6.8 μB/cell
# **E above lowest polymorph**: 107 meV per atom
# **Raw total energy**: -0.496 Ry/atom
# **Raw formation energy**: -0.92 eV/atom
data_PrEuSb2
_chemical_formula_sum 'Pr1 Eu1 Sb2'
_cell_length_a 5.892
_cell_length_b 5.892
_cell_length_c 3.448
_cell_angle_alpha 90.00
_cell_angle_beta 90.00
_cell_angle_gamma 90.00
_space_group_name_H-M_alt 'P 4/m m m'
_space_group_IT_number 123
_space_group_name_Hall '-P 4 2'
loop_
_atom_site_label
_atom_site_fract_x
_atom_site_fract_y
_atom_site_fract_z
Pr1 0.000 0.000 0.000
Eu1 0.500 0.500 0.000
Sb1 0.000 0.500 0.500

***

[2]
# PrEuSb2 | the Alexandria database | GGA-PBE | relaxed
# **Total moment**: 19.8 μB/cell
# **E above lowest polymorph**: 0 meV per atom
# **Raw total energy**: -0.504 Ry/atom
# **Raw formation energy**: -1.03 eV/atom
data_PrEuSb2
_chemical_formula_sum 'Pr3 Eu3 Sb6'
_cell_length_a 4.5587
_cell_length_b 4.5587
_cell_length_c 22.5601
_cell_angle_alpha 90.00
_cell_angle_beta 90.00
_cell_angle_gamma 120.00
_space_group_name_H-M_alt 'R -3 m'
_space_group_IT_number 166
_space_group_name_Hall '-R 3 2"'
loop_
_atom_site_label
_atom_site_fract_x
_atom_site_fract_y
_atom_site_fract_z
Pr1 0.0000 0.0000 0.0000
Eu1 0.0000 0.0000 0.5000
Sb1 0.0000 0.0000 0.2507

***

[3]
# PrEuTlSb | the Alexandria database | GGA-PBE | relaxed
# **Total moment**: 29.5 μB/cell
# **Raw total energy**: -0.439 Ry/atom
# **Raw formation energy**: -0.59 eV/atom
data_PrEuTlSb
_chemical_formula_sum 'Pr4 Eu4 Tl4 Sb4'
_cell_length_a 7.868
_cell_length_b 7.868
_cell_length_c 7.868
_cell_angle_alpha 90.00
_cell_angle_beta 90.00
_cell_angle_gamma 90.00
_space_group_name_H-M_alt 'F -4 3 m'
_space_group_IT_number 216
_space_group_name_Hall 'F -4 2 3'
loop_
_atom_site_label
_atom_site_fract_x
_atom_site_fract_y
_atom_site_fract_z
Pr1 0.000 0.000 0.000
Eu1 0.000 0.000 0.500
Tl1 0.250 0.250 0.750
Sb1 0.250 0.250 0.250

***

[4]
# PrEu2Sc | the Alexandria database | GGA-PBE | relaxed
# **Total moment**: 15.1 μB/cell
# **DFT formation energy**: 160 meV per atom
# **E above lowest polymorph**: 11 meV per atom
# **Raw total energy**: -0.570 Ry/atom
data_PrEu2Sc
_chemical_formula_sum 'Pr1 Eu2 Sc1'
_cell_length_a 5.105
_cell_length_b 5.105
_cell_length_c 5.280
_cell_angle_alpha 90.00
_cell_angle_beta 90.00
_cell_angle_gamma 90.00
_space_group_name_H-M_alt 'P 4/m m m'
_space_group_IT_number 123
_space_group_name_Hall '-P 4 2'
loop_
_atom_site_label
_atom_site_fract_x
_atom_site_fract_y
_atom_site_fract_z
Pr1 0.000 0.000 0.000
Eu1 0.000 0.500 0.500
Sc1 0.500 0.500 0.000